{
  "formula": "CaCdPdPb",
  "functional": "PBE",
  "state": "relaxed",
  "total_energy_ev_per_fu": -13.3,
  "dos_at_fermi_per_ev_cell": 2.50,
  "lattice_angstrom": [[0.0000, 3.6012, 3.6012], [3.6012, 0.0000, 3.6012], [3.6012, 3.6012, 0.0000]],
  "species": ["Ca", "Cd", "Pd", "Pb"],
  "fractional_positions": [[0.0000, 0.0000, 0.0000], [0.2500, 0.2500, 0.2500], [0.7500, 0.7500, 0.7500], [0.5000, 0.5000, 0.5000]]
}

{
  "formula": "SrHfTa2Au",
  "functional": "PBE",
  "state": "relaxed",
  "total_energy_ev_per_fu": -25.5,
  "dos_at_fermi_per_ev_cell": 9.77,
  "lattice_angstrom": [[4.8535, 0.0000, 0.0000], [0.0000, 4.8535, 0.0000], [0.0000, 0.0000, 5.0527]],
  "species": ["Sr", "Hf", "Ta", "Ta", "Au"],
  "fractional_positions": [[0.0000, 0.0000, 0.0000], [0.0000, 0.0000, 0.5000], [0.0000, 0.5000, 0.0000], [0.5000, 0.0000, 0.0000], [0.5000, 0.5000, 0.5000]]
}

{
  "formula": "BeCu2As",
  "functional": "PBE",
  "state": "relaxed",
  "total_energy_ev_per_fu": -16.0,
  "relative_energy_mev_per_atom": 23,
  "dos_at_fermi_per_ev_cell": 0.71,
  "lattice_angstrom": [[3.9462, -1.4084, 0.0000], [3.9462, 1.4084, 0.0000], [-0.7761, 0.0000, 4.6141]],
  "species": ["Be", "Cu", "Cu", "As"],
  "fractional_positions": [[0.0000, 0.0000, 0.0000], [0.2601, 0.2601, 0.7832], [0.7399, 0.7399, 0.2168], [0.5000, 0.5000, 0.5000]]
}

| no. | E_form (eV per atom) |
| --- | --- |
| 1 | -0.36 |
| 2 | 2.62 |
| 3 | 0.14 |